No. 1
Below is a relaxed structure of Li8Mg2Pb, with properties calculated at the PBE level.

```
data_Li8Mg2Pb
_chemical_formula_sum 'Li8 Mg2 Pb1'
_space_group_name_H-M_alt 'P 1'
_space_group_IT_number 1
_space_group_name_Hall 'P 1'
_cell_length_a 5.0244
_cell_length_b 7.6182
_cell_length_c 8.0255
_cell_angle_alpha 61.67
_cell_angle_beta 74.05
_cell_angle_gamma 54.62
loop_
_atom_site_label
_atom_site_fract_x
_atom_site_fract_y
_atom_site_fract_z
Mg1 0.0000 0.3091 0.3819
Mg2 0.0000 0.6909 0.6181
Li1 0.8135 0.1055 0.2271
Li2 0.5000 0.7971 0.4058
Li3 0.1865 0.8945 0.7729
Li4 0.1865 0.6674 0.2271
Li5 0.8135 0.3326 0.7729
Li6 0.2951 0.4253 0.0000
Li7 0.5000 0.2029 0.5942
Li8 0.7049 0.5747 0.0000
Pb1 0.5000 0.0000 0.0000
```

Summary:
ΔE_f: -0.055 eV per atom

=====

No. 2
Below is a relaxed structure of CePa2GaN5, with properties calculated at the PBE level.

```
data_CePa2GaN5
_chemical_formula_sum 'Ce2 Pa4 Ga2 N10'
_space_group_name_H-M_alt 'P 1'
_space_group_IT_number 1
_space_group_name_Hall 'P 1'
_cell_length_a 3.3306
_cell_length_b 8.4415
_cell_length_c 9.3305
_cell_angle_alpha 90.00
_cell_angle_beta 90.00
_cell_angle_gamma 101.38
loop_
_atom_site_label
_atom_site_fract_x
_atom_site_fract_y
_atom_site_fract_z
N1 0.9655 0.9309 0.5604
N2 0.4939 0.9879 0.7818
N3 0.0345 0.0691 0.0604
N4 0.3450 0.6900 0.3444
N5 0.3208 0.6416 0.6869
N6 0.3673 0.7346 0.0143
N7 0.6792 0.3584 0.1869
N8 0.6550 0.3100 0.8444
N9 0.6327 0.2654 0.5143
N10 0.5061 0.0121 0.2818
Ce1 0.7782 0.5565 0.4937
Ce2 0.2218 0.4435 0.9937
Pa1 0.9076 0.8152 0.1789
Pa2 0.8951 0.7902 0.7977
Pa3 0.0924 0.1848 0.6789
Pa4 0.1049 0.2098 0.2977
Ga1 0.4473 0.8946 0.4659
Ga2 0.5527 0.1054 0.9659
```

Summary:
uncorrected formation energy: -1.119 eV per atom